The following is a PBE-GGA calculation of a relaxed structure of NdScTl2, from Alexandria via LeMat-Bulk.

Calculated values
E: -4.289 eV/atom
Fermi-level density of states: 2.97 states/eV/f.u.
V: 26.42 Å³/atom

The structure in CIF format:
```
data_NdScTl2
_symmetry_space_group_name_H-M 'P 4/m m m'
_symmetry_Int_Tables_number 123
_symmetry_space_group_name_Hall '-P 4 2'
_cell_length_a 3.728
_cell_length_b 3.728
_cell_length_c 7.605
_cell_angle_alpha 90.00
_cell_angle_beta 90.00
_cell_angle_gamma 90.00
loop_
_atom_site_label
_atom_site_fract_x
_atom_site_fract_y
_atom_site_fract_z
Nd1 0.000 0.000 0.000
Sc1 0.000 0.000 0.500
Tl1 0.500 0.500 0.275
```

***

The following is a PBE-GGA calculation of a relaxed structure of YMn2Ru2, from Alexandria via LeMat-Bulk.

Calculated values
Fermi-level density of states: 7.44 states/eV/f.u.
V: 16.03 Å³/atom
Energy above the lowest structure with this stoichiometry: 0.000 eV/atom

The structure in CIF format:
```
data_YMn2Ru2
_symmetry_space_group_name_H-M 'I 4/m m m'
_symmetry_Int_Tables_number 139
_symmetry_space_group_name_Hall '-I 4 2'
_cell_length_a 4.093
_cell_length_b 4.093
_cell_length_c 9.567
_cell_angle_alpha 90.00
_cell_angle_beta 90.00
_cell_angle_gamma 90.00
loop_
_atom_site_label
_atom_site_fract_x
_atom_site_fract_y
_atom_site_fract_z
Y1 0.000 0.000 0.000
Mn1 0.000 0.000 0.388
Ru1 0.000 0.500 0.250
```

***

The following is a PBE-GGA calculation of a relaxed structure of LiTiCu2, from Alexandria via LeMat-Bulk.

Calculated values
E: -4.507 eV/atom
Fermi-level density of states: 2.11 states/eV/f.u.
V: 13.91 Å³/atom

The structure in CIF format:
```
data_LiTiCu2
_symmetry_space_group_name_H-M 'P 4/m m m'
_symmetry_Int_Tables_number 123
_symmetry_space_group_name_Hall '-P 4 2'
_cell_length_a 4.587
_cell_length_b 4.587
_cell_length_c 2.644
_cell_angle_alpha 90.00
_cell_angle_beta 90.00
_cell_angle_gamma 90.00
loop_
_atom_site_label
_atom_site_fract_x
_atom_site_fract_y
_atom_site_fract_z
Li1 0.000 0.000 0.000
Ti1 0.500 0.500 0.000
Cu1 0.000 0.500 0.500
```

***

The following is a PBE-GGA calculation of a relaxed structure of InSn2GeS, from Alexandria via LeMat-Bulk.

Calculated values
Fermi-level density of states: 4.57 states/eV/f.u.
E_form (uncorrected): 0.703 eV per atom
V: 31.31 Å³/atom

The structure in CIF format:
```
data_InSn2GeS
_symmetry_space_group_name_H-M 'P 4/m m m'
_symmetry_Int_Tables_number 123
_symmetry_space_group_name_Hall '-P 4 2'
_cell_length_a 5.617
_cell_length_b 5.617
_cell_length_c 4.963
_cell_angle_alpha 90.00
_cell_angle_beta 90.00
_cell_angle_gamma 90.00
loop_
_atom_site_label
_atom_site_fract_x
_atom_site_fract_y
_atom_site_fract_z
In1 0.000 0.000 0.000
Sn1 0.000 0.500 0.000
Ge1 0.500 0.500 0.500
S1 0.000 0.000 0.500
```

***

The following is a PBE-GGA calculation of a relaxed structure of Sb4P, from Alexandria via LeMat-Bulk.

Calculated values
Fermi-level density of states: 7.34 states/eV/f.u.
E_form (uncorrected): 0.581 eV per atom
V: 28.60 Å³/atom
Energy above the lowest structure with this stoichiometry: 0.277 eV/atom

The structure in CIF format:
```
data_Sb4P
_symmetry_space_group_name_H-M 'P m -3 m'
_symmetry_Int_Tables_number 221
_symmetry_space_group_name_Hall '-P 4 2 3'
_cell_length_a 5.229
_cell_length_b 5.229
_cell_length_c 5.229
_cell_angle_alpha 90.00
_cell_angle_beta 90.00
_cell_angle_gamma 90.00
loop_
_atom_site_label
_atom_site_fract_x
_atom_site_fract_y
_atom_site_fract_z
Sb1 0.000 0.000 0.000
Sb2 0.000 0.500 0.500
P1 0.500 0.500 0.500
```

***

The following is a PBE-GGA calculation of a relaxed structure of NdNi3Ge2, from Alexandria via LeMat-Bulk.

Calculated values
E: -5.774 eV/atom
Fermi-level density of states: 3.98 states/eV/f.u.
V: 16.05 Å³/atom

The structure in CIF format:
```
data_NdNi3Ge2
_symmetry_space_group_name_H-M 'C 1 2/m 1'
_symmetry_Int_Tables_number 12
_cell_length_a 15.094
_cell_length_b 3.924
_cell_length_c 7.186
_cell_angle_alpha 90.00
_cell_angle_beta 115.12
_cell_angle_gamma 90.00
loop_
_symmetry_equiv_pos_as_xyz
'x,y,z'
'-x,-y,-z'
'-x,y,-z'
'x,-y,z'
'x+1/2,y+1/2,z'
'-x+1/2,-y+1/2,-z'
'-x+1/2,y+1/2,-z'
'x+1/2,-y+1/2,z'
loop_
_atom_site_label
_atom_site_fract_x
_atom_site_fract_y
_atom_site_fract_z
Nd1 0.152 0.000 0.070
Ni1 0.038 0.000 0.376
Ni2 0.088 0.500 0.656
Ni3 0.185 0.500 0.447
Ge1 0.022 0.500 0.191
Ge2 0.188 0.000 0.671
```

***

The following is a PBE-GGA calculation of a relaxed structure of K4RuSe, from Alexandria via LeMat-Bulk.

Calculated values
Fermi-level density of states: 3.27 states/eV/f.u.
E_form (uncorrected): 0.764 eV per atom
V: 34.96 Å³/atom

The structure in CIF format:
```
data_K4RuSe
_symmetry_space_group_name_H-M 'F -4 3 m'
_symmetry_Int_Tables_number 216
_symmetry_space_group_name_Hall 'F -4 2 3'
_cell_length_a 9.432
_cell_length_b 9.432
_cell_length_c 9.432
_cell_angle_alpha 90.00
_cell_angle_beta 90.00
_cell_angle_gamma 90.00
loop_
_atom_site_label
_atom_site_fract_x
_atom_site_fract_y
_atom_site_fract_z
K1 0.123 0.123 0.377
Ru1 0.000 0.000 0.000
Se1 0.250 0.250 0.750
```

***

The following is a PBE-GGA calculation of a relaxed structure of Ba4TbNb3O12, from Alexandria via LeMat-Bulk.

Calculated values
Fermi-level density of states: 6.89 states/eV/f.u.
E_form (uncorrected): -2.870 eV per atom
V: 15.06 Å³/atom

The structure in CIF format:
```
data_Ba4TbNb3O12
_symmetry_space_group_name_H-M 'I m -3 m'
_symmetry_Int_Tables_number 229
_symmetry_space_group_name_Hall '-I 4 2 3'
_cell_length_a 8.446
_cell_length_b 8.446
_cell_length_c 8.446
_cell_angle_alpha 90.00
_cell_angle_beta 90.00
_cell_angle_gamma 90.00
loop_
_atom_site_label
_atom_site_fract_x
_atom_site_fract_y
_atom_site_fract_z
Ba1 0.250 0.250 0.250
Tb1 0.000 0.000 0.000
Nb1 0.000 0.000 0.500
O1 0.000 0.000 0.264
O2 0.000 0.250 0.500
```